MgPtW | PBE | optimized geometry Values from VASP.

```
&SYSTEM
  ibrav = 0, nat = 3, ntyp = 3
/
ATOMIC_SPECIES
Mg 24.30 Mg.upf
Pt 195.08 Pt.upf
W 183.84 W.upf
ATOMIC_POSITIONS angstrom
Mg 0.000 0.000 0.000
Pt 1.520 1.520 1.520
W 3.040 3.040 3.040
CELL_PARAMETERS angstrom
0.000 3.040 3.040
3.040 0.000 3.040
3.040 3.040 0.000
```

Values from the calculation:
Space-group type: F-43m

MgPtW | PBE | optimized geometry Values from VASP.

```
&SYSTEM
  ibrav = 0, nat = 6, ntyp = 3
/
ATOMIC_SPECIES
Mg 24.30 Mg.upf
Pt 195.08 Pt.upf
W 183.84 W.upf
ATOMIC_POSITIONS angstrom
Mg 0.000 0.000 0.000
Mg 0.000 0.000 4.148
Pt 1.705 0.000 2.107
Pt 1.705 0.000 10.602
W 0.000 0.000 8.337
W 1.705 0.000 6.481
CELL_PARAMETERS angstrom
3.411 0.000 0.000
0.000 2.270 6.344
0.000 -2.270 6.344
```

Values from the calculation:
Space-group type: Amm2

MgPt3W | PBE | optimized geometry Values from VASP.

```
&SYSTEM
  ibrav = 0, nat = 5, ntyp = 3
/
ATOMIC_SPECIES
Mg 24.30 Mg.upf
Pt 195.08 Pt.upf
W 183.84 W.upf
ATOMIC_POSITIONS angstrom
Mg 0.000 0.000 0.000
Pt 0.000 0.000 2.249
Pt 0.000 2.249 0.000
Pt 2.249 0.000 0.000
W 2.249 2.249 2.249
CELL_PARAMETERS angstrom
4.498 0.000 0.000
0.000 4.498 0.000
0.000 0.000 4.498
```

Values from the calculation:
Space-group type: Pm-3m

MgPtW | PBE | optimized geometry Values from VASP.

```
&SYSTEM
  ibrav = 0, nat = 6, ntyp = 3
/
ATOMIC_SPECIES
Mg 24.30 Mg.upf
Pt 195.08 Pt.upf
W 183.84 W.upf
ATOMIC_POSITIONS angstrom
Mg 2.304 2.669 3.917
Mg 2.304 -2.669 1.306
Pt 2.304 2.663 1.306
Pt 2.304 -2.663 3.917
W 2.304 0.000 0.000
W 2.304 0.000 2.612
CELL_PARAMETERS angstrom
2.304 -3.998 0.000
2.304 3.998 0.000
0.000 0.000 5.223
```

Values from the calculation:
Space-group type: Cmcm

MgPtW | PBE | optimized geometry Values from VASP.

```
&SYSTEM
  ibrav = 0, nat = 3, ntyp = 3
/
ATOMIC_SPECIES
Mg 24.30 Mg.upf
Pt 195.08 Pt.upf
W 183.84 W.upf
ATOMIC_POSITIONS angstrom
Mg 0.000 0.000 0.000
Pt 2.299 1.328 1.367
W 0.000 2.655 1.367
CELL_PARAMETERS angstrom
4.599 0.000 0.000
-2.299 3.983 0.000
0.000 0.000 2.733
```

Values from the calculation:
Space-group type: P-6m2

MgPtW | PBE | optimized geometry Values from VASP.

```
&SYSTEM
  ibrav = 0, nat = 6, ntyp = 3
/
ATOMIC_SPECIES
Mg 24.30 Mg.upf
Pt 195.08 Pt.upf
W 183.84 W.upf
ATOMIC_POSITIONS angstrom
Mg 0.000 0.000 0.000
Mg 0.325 0.000 4.703
Pt 1.654 0.000 2.382
Pt 1.749 2.367 4.228
W 0.380 2.367 1.632
W 0.331 2.367 6.616
CELL_PARAMETERS angstrom
2.781 0.000 0.000
0.000 4.733 0.000
-1.021 0.000 7.450
```

Values from the calculation:
Space-group type: Pm

no.,E above lowest polymorph (meV per atom),electronic total energy (eV per cell)
1,397,-20.24
2,135,-42.04
3,589,-26.18
4,264,-41.26
5,328,-20.44
6,148,-41.96